[1]
# Ac3La2Ho3 (PBE, relaxed)
# formation energy	188	meV/atom
data_Ac3La2Ho3
_chemical_formula_sum 'Ac6 La4 Ho6'
_space_group_name_H-M_alt 'P 63/m c m'
_space_group_IT_number 193
_space_group_name_Hall '-P 6c 2'
_cell_length_a 10.2078
_cell_length_b 10.2078
_cell_length_c 6.8243
_cell_angle_alpha 90.00
_cell_angle_beta 90.00
_cell_angle_gamma 120.00
loop_
_atom_site_label
_atom_site_fract_x
_atom_site_fract_y
_atom_site_fract_z
Ac1 0.0000 0.2324 0.2500
La1 0.3333 0.6667 0.0000
Ho1 0.0000 0.4127 0.7500

***

[2]
# ZnNi2Te (PBE, relaxed)
# energy above the lowest structure with this stoichiometry	162.2	meV per atom
data_ZnNi2Te
_chemical_formula_sum 'Zn4 Ni8 Te4'
_space_group_name_H-M_alt 'I -4 2 d'
_space_group_IT_number 122
_space_group_name_Hall 'I -4 2bw'
_cell_length_a 4.032
_cell_length_b 4.032
_cell_length_c 16.390
_cell_angle_alpha 90.00
_cell_angle_beta 90.00
_cell_angle_gamma 90.00
loop_
_atom_site_label
_atom_site_fract_x
_atom_site_fract_y
_atom_site_fract_z
Zn1 0.000 0.000 0.000
Ni1 0.249 0.250 0.125
Te1 0.000 0.000 0.500

***

[3]
The following is a PBE calculation of a relaxed GaHg6I2 crystal, from the Alexandria database.

Structure (CIF):
```
data_GaHg6I2
_chemical_formula_sum 'Ga1 Hg6 I2'
_space_group_name_H-M_alt 'P -1'
_space_group_IT_number 2
_cell_length_a 4.294
_cell_length_b 8.073
_cell_length_c 9.466
_cell_angle_alpha 72.01
_cell_angle_beta 89.96
_cell_angle_gamma 74.64
loop_
_space_group_symop_operation_xyz
'x,y,z'
'-x,-y,-z'
loop_
_atom_site_label
_atom_site_fract_x
_atom_site_fract_y
_atom_site_fract_z
Ga1 0.000 0.000 0.000
Hg1 0.138 0.731 0.274
Hg2 0.220 0.559 0.720
Hg3 0.401 0.191 0.514
I1 0.393 0.215 0.107
```

***

[4]
# BC2 (PBE, relaxed)
# energy above the lowest structure with this stoichiometry	84.3	meV per atom
# formation energy	324	meV/atom
data_BC2
_chemical_formula_sum 'B8 C16'
_space_group_name_H-M_alt 'C 1 m 1'
_space_group_IT_number 8
_cell_length_a 12.139
_cell_length_b 2.544
_cell_length_c 5.083
_cell_angle_alpha 90.00
_cell_angle_beta 102.05
_cell_angle_gamma 90.00
loop_
_space_group_symop_operation_xyz
'x,y,z'
'x,-y,z'
'x+1/2,y+1/2,z'
'x+1/2,-y+1/2,z'
loop_
_atom_site_label
_atom_site_fract_x
_atom_site_fract_y
_atom_site_fract_z
B1 0.000 0.000 0.000
B2 0.002 0.000 0.460
B3 0.156 0.500 0.812
B4 0.395 0.500 0.682
C1 0.085 0.500 0.037
C2 0.087 0.500 0.514
C3 0.163 0.500 0.312
C4 0.241 0.000 0.353
C5 0.251 0.000 0.859
C6 0.314 0.000 0.640
C7 0.323 0.000 0.148
C8 0.397 0.500 0.192

***

[5]
# La3CSe2 (PBE, relaxed)
# energy above the lowest structure with this stoichiometry	24.7	meV per atom
data_La3CSe2
_chemical_formula_sum 'La12 C4 Se8'
_space_group_name_H-M_alt 'C 1 2/c 1'
_space_group_IT_number 15
_cell_length_a 13.468
_cell_length_b 6.059
_cell_length_c 8.101
_cell_angle_alpha 90.00
_cell_angle_beta 107.45
_cell_angle_gamma 90.00
loop_
_space_group_symop_operation_xyz
'x,y,z'
'-x,-y,-z'
'-x,y,-z+1/2'
'x,-y,z+1/2'
'x+1/2,y+1/2,z'
'-x+1/2,-y+1/2,-z'
'-x+1/2,y+1/2,-z+1/2'
'x+1/2,-y+1/2,z+1/2'
loop_
_atom_site_label
_atom_site_fract_x
_atom_site_fract_y
_atom_site_fract_z
La1 0.000 0.034 0.250
La2 0.139 0.499 0.570
C1 0.000 0.451 0.250
Se1 0.175 0.001 0.088

***

[6]
The following is a PBE calculation of a relaxed In2Ag8Sb crystal, from the Alexandria database.

Structure (CIF):
```
data_In2Ag8Sb
_chemical_formula_sum 'In4 Ag16 Sb2'
_space_group_name_H-M_alt 'C 1 2/m 1'
_space_group_IT_number 12
_cell_length_a 7.346
_cell_length_b 13.346
_cell_length_c 5.134
_cell_angle_alpha 90.00
_cell_angle_beta 115.12
_cell_angle_gamma 90.00
loop_
_space_group_symop_operation_xyz
'x,y,z'
'-x,-y,-z'
'-x,y,-z'
'x,-y,z'
'x+1/2,y+1/2,z'
'-x+1/2,-y+1/2,-z'
'-x+1/2,y+1/2,-z'
'x+1/2,-y+1/2,z'
loop_
_atom_site_label
_atom_site_fract_x
_atom_site_fract_y
_atom_site_fract_z
In1 0.000 0.195 0.000
Ag1 0.000 0.283 0.500
Ag2 0.078 0.000 0.293
Ag3 0.212 0.387 0.179
Sb1 0.000 0.500 0.500
```

***

[7]
The following is a PBE calculation of a relaxed GeTe2Pd6 crystal, from the Alexandria database.

Structure (CIF):
```
data_GeTe2Pd6
_chemical_formula_sum 'Ge2 Te4 Pd12'
_space_group_name_H-M_alt 'P 1 21/c 1'
_space_group_IT_number 14
_cell_length_a 5.607
_cell_length_b 8.250
_cell_length_c 8.131
_cell_angle_alpha 90.00
_cell_angle_beta 116.28
_cell_angle_gamma 90.00
loop_
_space_group_symop_operation_xyz
'x,y,z'
'-x,-y,-z'
'-x,y+1/2,-z+1/2'
'x,-y+1/2,z+1/2'
loop_
_atom_site_label
_atom_site_fract_x
_atom_site_fract_y
_atom_site_fract_z
Ge1 0.000 0.000 0.000
Te1 0.259 0.095 0.693
Pd1 0.132 0.120 0.311
Pd2 0.228 0.733 0.043
Pd3 0.429 0.138 0.085
```

***

[8]
# Sm2Dy2Mg15 (PBE, relaxed)
# formation energy	9	meV/atom
data_Sm2Dy2Mg15
_chemical_formula_sum 'Sm6 Dy6 Mg45'
_space_group_name_H-M_alt 'R -3 m'
_space_group_IT_number 166
_space_group_name_Hall '-R 3 2"'
_cell_length_a 10.5139
_cell_length_b 10.5139
_cell_length_c 15.2626
_cell_angle_alpha 90.00
_cell_angle_beta 90.00
_cell_angle_gamma 120.00
loop_
_atom_site_label
_atom_site_fract_x
_atom_site_fract_y
_atom_site_fract_z
Sm1 0.0000 0.0000 0.1694
Dy1 0.0000 0.0000 0.4003
Mg1 0.0000 0.2977 0.5000
Mg2 0.0000 0.5000 0.0000
Mg3 0.0091 0.5045 0.6472

***

[9]
# KBaAs2 (PBE, relaxed)
# energy above the lowest structure with this stoichiometry	431.0	meV per atom
# formation energy	-255	meV/atom
data_KBaAs2
_chemical_formula_sum 'K1 Ba1 As2'
_space_group_name_H-M_alt 'P m m m'
_space_group_IT_number 47
_cell_length_a 3.224
_cell_length_b 5.963
_cell_length_c 6.690
_cell_angle_alpha 90.00
_cell_angle_beta 90.00
_cell_angle_gamma 90.00
loop_
_space_group_symop_operation_xyz
'x,y,z'
'-x,-y,-z'
'-x,-y,z'
'x,y,-z'
'x,-y,-z'
'-x,y,z'
'-x,y,-z'
'x,-y,z'
loop_
_atom_site_label
_atom_site_fract_x
_atom_site_fract_y
_atom_site_fract_z
K1 0.000 0.000 0.000
Ba1 0.500 0.500 0.500
As1 0.000 0.000 0.500
As2 0.500 0.500 0.000

***

[10]
The following is a PBE calculation of a relaxed AcCu2S3 crystal, from the Alexandria database.

Structure (CIF):
```
data_AcCu2S3
_chemical_formula_sum 'Ac4 Cu8 S12'
_space_group_name_H-M_alt 'C m c m'
_space_group_IT_number 63
_space_group_name_Hall '-C 2c 2'
_cell_length_a 8.525
_cell_length_b 11.761
_cell_length_c 4.973
_cell_angle_alpha 90.00
_cell_angle_beta 90.00
_cell_angle_gamma 90.00
loop_
_atom_site_label
_atom_site_fract_x
_atom_site_fract_y
_atom_site_fract_z
Ac1 0.000 0.223 0.250
Cu1 0.181 0.500 0.000
S1 0.000 0.388 0.750
S2 0.199 0.139 0.750
```

***

[11]
# Mg2HIr (PBE, relaxed)
# energy above the lowest structure with this stoichiometry	19.0	meV per atom
data_Mg2HIr
_chemical_formula_sum 'Mg8 H4 Ir4'
_space_group_name_H-M_alt 'C 1 2/m 1'
_space_group_IT_number 12
_cell_length_a 9.288
_cell_length_b 5.596
_cell_length_c 6.229
_cell_angle_alpha 90.00
_cell_angle_beta 131.03
_cell_angle_gamma 90.00
loop_
_space_group_symop_operation_xyz
'x,y,z'
'-x,-y,-z'
'-x,y,-z'
'x,-y,z'
'x+1/2,y+1/2,z'
'-x+1/2,-y+1/2,-z'
'-x+1/2,y+1/2,-z'
'x+1/2,-y+1/2,z'
loop_
_atom_site_label
_atom_site_fract_x
_atom_site_fract_y
_atom_site_fract_z
Mg1 0.177 0.000 0.343
Mg2 0.203 0.500 0.027
H1 0.036 0.500 0.380
Ir1 0.000 0.235 0.500

***

[12]
# Tb14PmTl (PBE, relaxed)
# formation energy	-8	meV/atom
data_Tb14PmTl
_chemical_formula_sum 'Tb14 Pm1 Tl1'
_space_group_name_H-M_alt 'P 4/m m m'
_space_group_IT_number 123
_space_group_name_Hall '-P 4 2'
_cell_length_a 7.068
_cell_length_b 7.068
_cell_length_c 10.063
_cell_angle_alpha 90.00
_cell_angle_beta 90.00
_cell_angle_gamma 90.00
loop_
_atom_site_label
_atom_site_fract_x
_atom_site_fract_y
_atom_site_fract_z
Tb1 0.000 0.000 0.000
Tb2 0.000 0.500 0.000
Tb3 0.000 0.500 0.500
Tb4 0.250 0.250 0.251
Tb5 0.500 0.500 0.000
Pm1 0.000 0.000 0.500
Tl1 0.500 0.500 0.500

***

[13]
The following is a PBE calculation of a relaxed Cs3K2BaBr6 crystal, from the Alexandria database.

Structure (CIF):
```
data_Cs3K2BaBr6
_chemical_formula_sum 'Cs6 K4 Ba2 Br12'
_space_group_name_H-M_alt 'C 1 2/m 1'
_space_group_IT_number 12
_cell_length_a 22.033
_cell_length_b 5.000
_cell_length_c 10.145
_cell_angle_alpha 90.00
_cell_angle_beta 104.70
_cell_angle_gamma 90.00
loop_
_space_group_symop_operation_xyz
'x,y,z'
'-x,-y,-z'
'-x,y,-z'
'x,-y,z'
'x+1/2,y+1/2,z'
'-x+1/2,-y+1/2,-z'
'-x+1/2,y+1/2,-z'
'x+1/2,-y+1/2,z'
loop_
_atom_site_label
_atom_site_fract_x
_atom_site_fract_y
_atom_site_fract_z
Cs1 0.000 0.000 0.000
Cs2 0.169 0.500 0.329
K1 0.169 0.500 0.840
Ba1 0.000 0.000 0.500
Br1 0.006 0.500 0.724
Br2 0.155 0.000 0.594
Br3 0.172 0.000 0.068
```

***

[14]
# Nd3Y (PBE, relaxed)
# energy above the lowest structure with this stoichiometry	129.2	meV per atom
# formation energy	126	meV/atom
data_Nd3Y
_chemical_formula_sum 'Nd12 Y4'
_space_group_name_H-M_alt 'F m -3 m'
_space_group_IT_number 225
_space_group_name_Hall '-F 4 2 3'
_cell_length_a 8.218
_cell_length_b 8.218
_cell_length_c 8.218
_cell_angle_alpha 90.00
_cell_angle_beta 90.00
_cell_angle_gamma 90.00
loop_
_atom_site_label
_atom_site_fract_x
_atom_site_fract_y
_atom_site_fract_z
Nd1 0.000 0.000 0.000
Nd2 0.250 0.250 0.250
Y1 0.000 0.000 0.500

***

[15]
The following is a PBE calculation of a relaxed ZrBeCo2H crystal, from the Alexandria database.

Structure (CIF):
```
data_ZrBeCo2H
_chemical_formula_sum 'Zr4 Be4 Co8 H4'
_space_group_name_H-M_alt 'C m c m'
_space_group_IT_number 63
_space_group_name_Hall '-C 2c 2'
_cell_length_a 3.272
_cell_length_b 9.607
_cell_length_c 6.740
_cell_angle_alpha 90.00
_cell_angle_beta 90.00
_cell_angle_gamma 90.00
loop_
_atom_site_label
_atom_site_fract_x
_atom_site_fract_y
_atom_site_fract_z
Zr1 0.000 0.056 0.250
Be1 0.000 0.229 0.750
Co1 0.000 0.338 0.058
H1 0.000 0.500 0.000
```

***

[16]
The following is a PBE calculation of a relaxed HoTm2PuN4 crystal, from the Alexandria database.

Structure (CIF):
```
data_HoTm2PuN4
_chemical_formula_sum 'Ho1 Tm2 Pu1 N4'
_space_group_name_H-M_alt 'P 1 2/m 1'
_space_group_IT_number 10
_cell_length_a 5.932
_cell_length_b 3.439
_cell_length_c 5.932
_cell_angle_alpha 90.00
_cell_angle_beta 109.39
_cell_angle_gamma 90.00
loop_
_space_group_symop_operation_xyz
'x,y,z'
'-x,-y,-z'
'-x,y,-z'
'x,-y,z'
loop_
_atom_site_label
_atom_site_fract_x
_atom_site_fract_y
_atom_site_fract_z
Ho1 0.000 0.000 0.000
Tm1 0.000 0.500 0.500
Tm2 0.500 0.000 0.500
Pu1 0.500 0.500 0.000
N1 0.253 0.000 0.750
N2 0.254 0.500 0.251
```

***

[17]
# Ba2PIr (PBE, relaxed)
# formation energy	-89	meV/atom
data_Ba2PIr
_chemical_formula_sum 'Ba2 P1 Ir1'
_space_group_name_H-M_alt 'P m m m'
_space_group_IT_number 47
_cell_length_a 3.582
_cell_length_b 4.293
_cell_length_c 7.364
_cell_angle_alpha 90.00
_cell_angle_beta 90.00
_cell_angle_gamma 90.00
loop_
_space_group_symop_operation_xyz
'x,y,z'
'-x,-y,-z'
'-x,-y,z'
'x,y,-z'
'x,-y,-z'
'-x,y,z'
'-x,y,-z'
'x,-y,z'
loop_
_atom_site_label
_atom_site_fract_x
_atom_site_fract_y
_atom_site_fract_z
Ba1 0.000 0.000 0.248
P1 0.500 0.500 0.500
Ir1 0.500 0.500 0.000

***

[18]
# Tm2ScTc (PBE, relaxed)
# energy above the lowest structure with this stoichiometry	408.9	meV per atom
# formation energy	253	meV/atom
data_Tm2ScTc
_chemical_formula_sum 'Tm6 Sc3 Tc3'
_space_group_name_H-M_alt 'R -3 m'
_space_group_IT_number 166
_space_group_name_Hall '-R 3 2"'
_cell_length_a 3.3138
_cell_length_b 3.3138
_cell_length_c 31.2808
_cell_angle_alpha 90.00
_cell_angle_beta 90.00
_cell_angle_gamma 120.00
loop_
_atom_site_label
_atom_site_fract_x
_atom_site_fract_y
_atom_site_fract_z
Tm1 0.0000 0.0000 0.1014
Sc1 0.0000 0.0000 0.0000
Tc1 0.0000 0.0000 0.5000

***

[19]
# Sr2Cd4InSn3 (PBE, relaxed)
# formation energy	-328	meV/atom
data_Sr2Cd4InSn3
_chemical_formula_sum 'Sr2 Cd4 In1 Sn3'
_space_group_name_H-M_alt 'P -4 m 2'
_space_group_IT_number 115
_cell_length_a 4.790
_cell_length_b 4.790
_cell_length_c 12.464
_cell_angle_alpha 90.00
_cell_angle_beta 90.00
_cell_angle_gamma 90.00
loop_
_space_group_symop_operation_xyz
'x,y,z'
'y,-x,-z'
'-x,-y,z'
'-y,x,-z'
'-x,y,z'
'-y,-x,-z'
'x,-y,z'
'y,x,-z'
loop_
_atom_site_label
_atom_site_fract_x
_atom_site_fract_y
_atom_site_fract_z
Sr1 0.000 0.500 0.249
Cd1 0.000 0.000 0.000
Cd2 0.000 0.500 0.638
Cd3 0.500 0.500 0.000
In1 0.000 0.000 0.500
Sn1 0.000 0.500 0.862
Sn2 0.500 0.500 0.500

***

[20]
# La2ZnTe (PBE, relaxed)
# energy above the lowest structure with this stoichiometry	0.0	meV per atom
data_La2ZnTe
_chemical_formula_sum 'La8 Zn4 Te4'
_space_group_name_H-M_alt 'C m c m'
_space_group_IT_number 63
_space_group_name_Hall '-C 2c 2'
_cell_length_a 4.402
_cell_length_b 24.870
_cell_length_c 4.620
_cell_angle_alpha 90.00
_cell_angle_beta 90.00
_cell_angle_gamma 90.00
loop_
_atom_site_label
_atom_site_fract_x
_atom_site_fract_y
_atom_site_fract_z
La1 0.000 0.062 0.250
La2 0.000 0.322 0.250
Zn1 0.000 0.463 0.250
Te1 0.000 0.192 0.250

***

[21]
# Sr3In5Cl12 (PBE, relaxed)
# energy above the lowest structure with this stoichiometry	0.0	meV per atom
data_Sr3In5Cl12
_chemical_formula_sum 'Sr3 In5 Cl12'
_space_group_name_H-M_alt 'P -6 2 m'
_space_group_IT_number 189
_space_group_name_Hall 'P -6 -2'
_cell_length_a 12.7737
_cell_length_b 12.7737
_cell_length_c 4.4292
_cell_angle_alpha 90.00
_cell_angle_beta 90.00
_cell_angle_gamma 120.00
loop_
_atom_site_label
_atom_site_fract_x
_atom_site_fract_y
_atom_site_fract_z
Sr1 0.0000 0.3250 0.0000
In1 0.0000 0.7025 0.5000
In2 0.3333 0.6667 0.5000
Cl1 0.0000 0.1790 0.5000
Cl2 0.0000 0.4708 0.5000
Cl3 0.1903 0.7369 0.0000

***

no.,energy (eV for the cell shown)
1,-68.824
2,-61.408
3,-8.922
4,-193.221
5,-156.183
6,-62.989
7,-88.036
8,-127.172
9,-13.338
10,-121.893
11,-66.590
12,-72.073
13,-74.267
14,-81.047
15,-125.216
16,-74.295
17,-18.474
18,-73.884
19,-25.052
20,-71.176
21,-71.578